Computed, not measured: an optimized crystal structure of Rb2YIr at the GGA-PBE level of DFT.

Calculated values
**Formation enthalpy at 0 K**: 120.2 kJ/mol of atoms
**ΔE to the lowest computed polymorph**: 721 meV/atom

abc: 5.614 5.614 5.614
angles: 60.00 60.00 60.00
Fractional coordinates of all 4 atoms:
Ir1 0.500 0.500 0.500
Rb1 0.250 0.250 0.250
Rb2 0.750 0.750 0.750
Y1 0.000 0.000 0.000